# 1
# CdSn2Pt9 | the Alexandria database | GGA-PBE | relaxed
data_CdSn2Pt9
_chemical_formula_sum 'Cd1 Sn2 Pt9'
_symmetry_space_group_name_H-M 'P 1'
_symmetry_Int_Tables_number 1
_cell_length_a 4.0538
_cell_length_b 4.0538
_cell_length_c 12.1477
_cell_angle_alpha 90.00
_cell_angle_beta 90.00
_cell_angle_gamma 90.00
loop_
_symmetry_equiv_pos_as_xyz
'x,y,z'
loop_
_atom_site_label
_atom_site_type_symbol
_atom_site_fract_x
_atom_site_fract_y
_atom_site_fract_z
_atom_site_occupancy
Pt1 Pt 0.5000 0.0000 0.8330 1
Pt2 Pt 0.5000 0.5000 0.6650 1
Pt3 Pt 0.0000 0.5000 0.8330 1
Pt4 Pt 0.0000 0.5000 0.5000 1
Pt5 Pt 0.5000 0.0000 0.5000 1
Pt6 Pt 0.0000 0.5000 0.1670 1
Pt7 Pt 0.5000 0.5000 0.3350 1
Pt8 Pt 0.5000 0.5000 0.0000 1
Pt9 Pt 0.5000 0.0000 0.1670 1
Sn1 Sn 0.0000 0.0000 0.3293 1
Sn2 Sn 0.0000 0.0000 0.6707 1
Cd1 Cd 0.0000 0.0000 0.0000 1
# Total magnetic moment ... 0.00 μB/f.u.
# Formation energy from the elements ... -0.334 eV per atom

=====

# 2
# CdSn2Pt2 | the Alexandria database | GGA-PBE | relaxed
data_CdSn2Pt2
_chemical_formula_sum 'Cd2 Sn4 Pt4'
_symmetry_space_group_name_H-M 'P 1'
_symmetry_Int_Tables_number 1
_cell_length_a 7.4370
_cell_length_b 7.4370
_cell_length_c 3.7288
_cell_angle_alpha 90.00
_cell_angle_beta 90.00
_cell_angle_gamma 90.00
loop_
_symmetry_equiv_pos_as_xyz
'x,y,z'
loop_
_atom_site_label
_atom_site_type_symbol
_atom_site_fract_x
_atom_site_fract_y
_atom_site_fract_z
_atom_site_occupancy
Sn1 Sn 0.1590 0.6590 0.5000 1
Sn2 Sn 0.8410 0.3410 0.5000 1
Sn3 Sn 0.6590 0.8410 0.5000 1
Sn4 Sn 0.3410 0.1590 0.5000 1
Cd1 Cd 0.0000 0.0000 0.0000 1
Cd2 Cd 0.5000 0.5000 0.0000 1
Pt1 Pt 0.3591 0.8591 0.0000 1
Pt2 Pt 0.8591 0.6409 0.0000 1
Pt3 Pt 0.1409 0.3591 0.0000 1
Pt4 Pt 0.6409 0.1409 0.0000 1
# Total magnetic moment ... 0.00 μB/f.u.
# Energy above the most stable polymorph in this dataset ... 0.115 eV per atom
# Formation energy from the elements ... -0.294 eV per atom

=====

# 3
# CdSnPt6 | the Alexandria database | GGA-PBE | relaxed
data_CdSnPt6
_chemical_formula_sum 'Cd1 Sn1 Pt6'
_symmetry_space_group_name_H-M 'P 1'
_symmetry_Int_Tables_number 1
_cell_length_a 4.0546
_cell_length_b 4.0546
_cell_length_c 8.0783
_cell_angle_alpha 90.00
_cell_angle_beta 90.00
_cell_angle_gamma 90.00
loop_
_symmetry_equiv_pos_as_xyz
'x,y,z'
loop_
_atom_site_label
_atom_site_type_symbol
_atom_site_fract_x
_atom_site_fract_y
_atom_site_fract_z
_atom_site_occupancy
Pt1 Pt 0.5000 0.5000 0.0000 1
Pt2 Pt 0.5000 0.5000 0.5000 1
Pt3 Pt 0.5000 0.0000 0.7483 1
Pt4 Pt 0.5000 0.0000 0.2517 1
Pt5 Pt 0.0000 0.5000 0.2517 1
Pt6 Pt 0.0000 0.5000 0.7483 1
Cd1 Cd 0.0000 0.0000 0.0000 1
Sn1 Sn 0.0000 0.0000 0.5000 1
# Total magnetic moment ... 0.00 μB/f.u.
# Formation energy from the elements ... -0.297 eV per atom